First-principles (PBE-GGA) data for a relaxed structure of Ac12Tl5Hg2, as listed in the Alexandria database.

Calculated values
size of the total moment = 0.00 Bohr magnetons per cell
space group = No. 12
DFT formation energy = -171 meV per atom

a b c (Å): 7.969 10.350 9.835
angles (deg): 86.51 90.00 112.64
Fractional coordinates of all 19 atoms:
Ac (0.398, 0.303, 0.492)
Ac (0.503, 0.006, 0.695)
Ac (0.602, 0.697, 0.508)
Ac (0.589, 0.674, 0.930)
Ac (0.085, 0.674, 0.930)
Ac (0.497, 0.994, 0.305)
Ac (0.411, 0.326, 0.070)
Ac (0.960, 0.920, 0.189)
Ac (0.915, 0.326, 0.070)
Ac (0.095, 0.697, 0.508)
Ac (0.905, 0.303, 0.492)
Ac (0.040, 0.080, 0.811)
Tl (0.227, 0.454, 0.749)
Tl (0.292, 0.585, 0.243)
Tl (0.708, 0.415, 0.757)
Tl (0.773, 0.546, 0.251)
Tl (0.000, 0.000, 0.500)
Hg (0.321, 0.000, 0.000)
Hg (0.679, 0.000, 0.000)

=====

First-principles (PBE-GGA) data for a relaxed structure of TiP2RuS, as listed in the Alexandria database.

Calculated values
size of the total moment = 0.04 Bohr magnetons per cell
ΔE to the lowest computed polymorph = 0.000 eV/atom
space group = No. 123
formation energy without anion corrections = 2.53 eV/f.u.

a b c (Å): 4.416 4.416 5.003
angles (deg): 90.00 90.00 90.00
Fractional coordinates of all 5 atoms:
P (0.500, 0.000, 0.000)
P (0.000, 0.500, 0.000)
Ti (0.500, 0.500, 0.500)
S (0.000, 0.000, 0.500)
Ru (0.000, 0.000, 0.000)

=====

First-principles (PBE-GGA) data for a relaxed structure of La2AlCl, as listed in the Alexandria database.

Calculated values
size of the total moment = 0.00 Bohr magnetons per cell
ΔE to the lowest computed polymorph = 0.000 eV/atom
space group = No. 10
formation energy without anion corrections = -3.78 eV/f.u.

a b c (Å): 3.683 3.696 8.619
angles (deg): 89.86 90.00 90.00
Fractional coordinates of all 4 atoms:
Al (0.500, 0.250, 0.250)
La (0.000, 0.749, 0.474)
La (0.000, 0.751, 0.026)
Cl (0.500, 0.750, 0.750)